[1]
{"formula": "TlPt2Se", "functional": "SCAN", "state": "PBEsol geometry", "lattice": [[-1.289, 0.041, -3.308], [3.211, -0.839, -1.262], [-1.314, -5.691, 0.441]], "species": ["Tl", "Pt", "Se", "Pt"], "fractional_positions": [[0.500, 0.500, 0.788], [0.000, 0.000, 0.006], [0.000, 0.000, 0.415], [0.500, 0.500, 0.292]], "density_g_cm3": 15.14, "magmom_total_mub_per_fu": 0.00}


[2]
{"formula": "Tl2PtSe", "functional": "SCAN", "state": "PBEsol geometry", "lattice": [[-2.101, 0.938, 2.021], [2.748, -2.820, 4.167], [2.532, 5.195, -2.099]], "species": ["Tl", "Se", "Tl", "Pt"], "fractional_positions": [[0.996, 0.996, 0.991], [0.205, 0.705, 0.409], [0.782, 0.282, 0.563], [0.518, 0.518, 0.037]], "density_g_cm3": 12.37, "magmom_total_mub_per_fu": 0.00}


[3]
{"formula": "Tl2PtSe", "functional": "SCAN", "state": "PBEsol geometry", "lattice": [[4.971, 0.000, 0.000], [2.485, 4.305, 0.000], [2.485, 1.435, 4.059]], "species": ["Tl", "Se", "Pt", "Tl"], "fractional_positions": [[0.250, 0.250, 0.250], [0.500, 0.500, 0.500], [0.000, 0.000, 0.000], [0.750, 0.750, 0.750]], "density_g_cm3": 13.06, "magmom_total_mub_per_fu": 0.00}


[4]
{"formula": "TlPtSe2", "functional": "SCAN", "state": "PBEsol geometry", "lattice": [[-0.295, 0.521, -3.028], [-4.776, -1.654, 0.181], [-1.592, 4.703, 0.964]], "species": ["Tl", "Pt", "Se", "Se"], "fractional_positions": [[0.500, 0.500, 0.500], [0.500, 0.000, 0.000], [0.000, 0.000, 0.500], [0.000, 0.500, 0.000]], "density_g_cm3": 11.72, "magmom_total_mub_per_fu": 0.00}


[5]
{"formula": "TlPtSe2", "functional": "SCAN", "state": "PBEsol geometry", "lattice": [[-2.885, -2.171, -0.040], [4.290, -2.650, -2.677], [-0.195, 0.151, 5.851]], "species": ["Se", "Se", "Tl", "Pt"], "fractional_positions": [[0.677, 0.354, 0.673], [0.323, 0.646, 0.327], [0.500, 0.000, 0.000], [0.000, 0.000, 0.500]], "density_g_cm3": 9.55, "magmom_total_mub_per_fu": 0.00}


[6]
{"formula": "TlPtSe2", "functional": "SCAN", "state": "PBEsol geometry", "lattice": [[4.740, 0.050, 0.000], [-1.639, 4.448, 0.000], [-1.551, -2.249, 3.874]], "species": ["Tl", "Se", "Se", "Pt"], "fractional_positions": [[0.000, 0.000, 0.000], [0.750, 0.250, 0.500], [0.250, 0.750, 0.500], [0.500, 0.500, 0.000]], "density_g_cm3": 11.29, "magmom_total_mub_per_fu": 0.00}


[7]
{"formula": "Tl2PtSe", "functional": "SCAN", "state": "PBEsol geometry", "lattice": [[4.206, 0.000, 0.000], [0.000, 4.206, 0.000], [0.000, 0.000, 4.934]], "species": ["Se", "Tl", "Pt", "Tl"], "fractional_positions": [[0.000, 0.000, 0.500], [0.500, 0.000, 0.000], [0.500, 0.500, 0.500], [0.000, 0.500, 0.000]], "density_g_cm3": 12.99, "magmom_total_mub_per_fu": 0.00}


[8]
{"formula": "TlPt2Se", "functional": "SCAN", "state": "PBEsol geometry", "lattice": [[2.953, 0.047, 0.000], [-0.202, 5.214, 0.000], [-1.375, -2.630, 4.669]], "species": ["Pt", "Se", "Tl", "Pt"], "fractional_positions": [[0.000, 0.000, 0.500], [0.000, 0.000, 0.000], [0.500, 0.500, 0.000], [0.500, 0.500, 0.500]], "density_g_cm3": 15.55, "magmom_total_mub_per_fu": 0.00}


[9]
{"formula": "TlPt2Se", "functional": "SCAN", "state": "PBEsol geometry", "lattice": [[-2.144, -1.398, 3.899], [1.541, -3.759, 2.289], [2.115, 0.488, 4.128]], "species": ["Pt", "Pt", "Tl", "Se"], "fractional_positions": [[0.750, 0.750, 0.750], [0.000, 0.000, 0.000], [0.250, 0.250, 0.250], [0.500, 0.500, 0.500]], "density_g_cm3": 15.59, "magmom_total_mub_per_fu": 0.00}


[10]
{"formula": "TlPtSe2", "functional": "SCAN", "state": "PBEsol geometry", "lattice": [[3.435, 0.000, 0.000], [0.000, 3.435, 0.000], [0.000, 0.000, 8.372]], "species": ["Se", "Pt", "Tl", "Se"], "fractional_positions": [[0.000, 0.000, 0.860], [0.500, 0.500, 0.946], [0.000, 0.000, 0.456], [0.500, 0.500, 0.239]], "density_g_cm3": 9.37, "magmom_total_mub_per_fu": 0.00}


[11]
{"formula": "TlPtSe2", "functional": "SCAN", "state": "PBEsol geometry", "lattice": [[4.562, 0.000, 0.000], [0.000, 4.562, 0.000], [-2.281, -2.281, 3.760]], "species": ["Se", "Se", "Pt", "Tl"], "fractional_positions": [[0.000, 0.000, 0.000], [0.750, 0.250, 0.500], [0.250, 0.750, 0.500], [0.500, 0.500, 0.000]], "density_g_cm3": 11.83, "magmom_total_mub_per_fu": 0.00}


[12]
{"formula": "PtWSe", "functional": "SCAN", "state": "PBEsol geometry", "lattice": [[-1.825, 1.513, 3.541], [1.663, -0.920, 3.815], [1.944, 3.040, 2.267]], "species": ["W", "Se", "Pt"], "fractional_positions": [[0.750, 0.750, 0.750], [0.500, 0.500, 0.500], [0.000, 0.000, 0.000]], "density_g_cm3": 13.89, "magmom_total_mub_per_fu": 0.00}


The following D(E_F) values (in states/eV per cell) correspond, in order, to the records above: 1.31, 1.45, 4.57, 1.57, 2.80, 3.14, 1.16, 2.11, 3.80, 1.78, 3.03, 2.76.
The following formation energy (no corrections) values (in eV per formula unit) correspond, in order, to the records above: 0.016, -0.057, 1.367, 1.669, -1.093, 1.943, 1.088, 1.530, 1.870, -0.124, 2.242, 0.973.